#i
DFT (PBE) results for a relaxed Ho2Tm2Th crystal.

Lattice parameters (Å, degrees): 6.010 6.759 11.918 44.22 104.60 90.00
Fractional positions:
Ho  0.243  0.029  0.390
Ho  0.853  0.471  0.610
Ho  0.757  0.971  0.610
Ho  0.147  0.529  0.390
Tm  0.481  0.345  0.809
Tm  0.328  0.845  0.809
Tm  0.519  0.655  0.191
Tm  0.672  0.155  0.191
Th  0.928  0.750  0.000
Th  0.072  0.250  0.000

Values from the calculation:
DOS(E_F) in states/eV per cell: 14.09
Space group: C2/c, No. 15

#ii
DFT (PBE) results for a relaxed Ho2Tm2Th crystal.

Lattice parameters (Å, degrees): 3.476 5.316 8.754 107.72 90.00 90.00
Fractional positions:
Ho  0.000  0.801  0.601
Ho  0.000  0.199  0.399
Tm  0.500  0.393  0.786
Tm  0.500  0.607  0.214
Th  0.000  0.000  0.000

Values from the calculation:
DOS(E_F) in states/eV per cell: 6.35
Space group: Cmmm, No. 65

Least stable structure among those shown: #i.